# Sm2Si2Ni2H, optimized geometry, DFT PBE
data_Sm2Si2Ni2H
_chemical_formula_sum 'Sm4 Si4 Ni4 H2'
_space_group_name_H-M_alt 'C 1 2/m 1'
_space_group_IT_number 12
_cell_length_a 10.535
_cell_length_b 4.005
_cell_length_c 6.946
_cell_angle_alpha 90.00
_cell_angle_beta 130.85
_cell_angle_gamma 90.00
loop_
_space_group_symop_operation_xyz
'x,y,z'
'-x,-y,-z'
'-x,y,-z'
'x,-y,z'
'x+1/2,y+1/2,z'
'-x+1/2,-y+1/2,-z'
'-x+1/2,y+1/2,-z'
'x+1/2,-y+1/2,z'
loop_
_atom_site_label
_atom_site_type_symbol
_atom_site_fract_x
_atom_site_fract_y
_atom_site_fract_z
Sm1 Sm 0.056 0.000 0.321
Si1 Si 0.156 0.500 0.110
Ni1 Ni 0.206 0.500 0.820
H1 H 0.000 0.500 0.500
# Final energy (eV per atom): -5.7405
# Total magnetization (Bohr magnetons per cell): 0.0